Run w
Computed, not measured: PmSm7Er4 after structural relaxation at the PBE level of DFT.

Total moment ... 0.00 μB/cell
Space-group type ... P-1, No. 2
Crystal system ... triclinic

```
12
Lattice="6.2728 0.0000 0.0000 0.0004 7.2428 0.0000 2.1074 0.0008 8.6663" Properties=species:S:1:pos:R:3 pbc="T T T"
Pm 0.0000 0.0000 0.0000
Sm 0.0002 3.6214 0.0000
Sm 2.1006 7.2421 2.9009
Sm 3.1571 5.4208 5.7552
Sm 5.2408 1.8336 8.6574
Sm 3.1398 5.4100 0.0088
Sm 5.2236 1.8229 2.9111
Sm 6.2800 0.0015 5.7653
Er 2.0828 3.6210 2.9057
Er 3.1488 1.8321 5.7699
Er 5.2318 5.4116 2.8964
Er 6.2978 3.6227 5.7606
```



Run x
Computed, not measured: PmSm7Er4 after structural relaxation at the PBE level of DFT.

Total moment ... 0.15 μB/cell
Space-group type ... C2/m, No. 12
Crystal system ... monoclinic

```
12
Lattice="8.0301 -2.9745 0.0000 8.0301 2.9745 0.0000 -4.2269 0.0000 8.3909" Properties=species:S:1:pos:R:3 pbc="T T T"
Pm 0.0000 0.0000 0.0000
Sm -0.5304 0.0000 3.7781
Sm 2.4024 0.0000 2.0060
Sm -0.2803 0.0000 7.4171
Sm 8.0301 0.0000 0.0000
Sm 12.1136 0.0000 0.9738
Sm 9.4310 0.0000 6.3849
Sm 12.3637 0.0000 4.6128
Er 2.6933 0.0000 5.1782
Er 5.6109 0.0000 2.5285
Er 6.2224 0.0000 5.8624
Er 9.1401 0.0000 3.2127
```



Energies relative to the most stable structure, in meV/atom: run w 0; run x 212.



Run w
Computed, not measured: Pm3Sm5Er2 after structural relaxation at the PBE level of DFT.

Total moment ... 0.00 μB/cell
Space-group type ... C2/c, No. 15
Crystal system ... monoclinic

```
20
Lattice="5.4088 -7.6398 0.0000 5.4088 7.6398 0.0000 -5.3674 0.0000 8.2123" Properties=species:S:1:pos:R:3 pbc="T T T"
Pm 1.2954 1.9251 0.4230
Pm 1.3833 4.1412 6.1592
Pm -1.3883 -1.9251 4.5291
Pm 6.8386 1.9251 3.6832
Pm 4.0670 -4.1412 2.0531
Pm 4.1549 -1.9251 7.7893
Sm 1.3833 7.3153 6.1592
Sm -1.2873 1.8631 6.3620
Sm 4.0670 3.4742 2.0531
Sm 1.3964 -1.8631 2.2559
Sm 4.0670 0.4132 2.0531
Sm 1.3833 -0.4132 6.1592
Sm 4.0539 1.8631 5.9564
Sm 1.3833 -3.4742 6.1592
Sm 6.7376 -1.8631 1.8502
Sm 4.0670 -7.3153 2.0531
Er 1.3016 1.8760 3.6916
Er -1.3821 -1.8760 7.7978
Er 6.8324 1.8760 0.4145
Er 4.1487 -1.8760 4.5207
```



Run x
Computed, not measured: Pm3Sm5Er2 after structural relaxation at the PBE level of DFT.

Total moment ... 0.00 μB/cell
Space-group type ... Ibam, No. 72
Crystal system ... orthorhombic

```
20
Lattice="-4.7283 6.8553 5.5334 4.7283 -6.8553 5.5334 4.7283 6.8553 -5.5334" Properties=species:S:1:pos:R:3 pbc="T T T"
Pm 7.0876 1.7275 0.0000
Pm 0.0000 0.0000 2.7667
Pm 2.3593 5.1279 0.0000
Pm 2.3690 1.7275 5.5334
Pm 0.0000 0.0000 8.3002
Pm -2.3593 5.1279 5.5334
Sm 0.0000 10.2780 2.7667
Sm 4.7283 -3.4227 2.7667
Sm 3.7863 1.6739 0.0000
Sm 4.7283 0.0000 2.7667
Sm 3.7863 -1.6739 5.5334
Sm 0.0000 3.4327 2.7667
Sm 4.7283 3.4227 2.7667
Sm 0.9420 8.5292 0.0000
Sm 0.0000 6.8553 2.7667
Sm 0.9420 5.1815 5.5334
Er 0.8166 1.7277 0.0000
Er 5.5448 5.1277 0.0000
Er -0.8166 1.7277 5.5334
Er 3.9117 5.1277 5.5334
```



Energies relative to the most stable structure, in meV/atom: run w 0; run x 187.



Run w
Computed, not measured: PmSmErTh after structural relaxation at the PBE level of DFT.

Total moment ... 0.00 μB/cell
Space-group type ... F-43m, No. 216
Crystal system ... cubic

```
4
Lattice="0.0000 4.0368 4.0368 4.0368 0.0000 4.0368 4.0368 4.0368 0.0000" Properties=species:S:1:pos:R:3 pbc="T T T"
Pm 0.0000 0.0000 0.0000
Sm 2.0184 2.0184 2.0184
Er 4.0368 4.0368 4.0368
Th 6.0551 6.0551 6.0551
```



Run x
Computed, not measured: PmSmErTh after structural relaxation at the PBE level of DFT.

Total moment ... 0.00 μB/cell
Space-group type ... R3m, No. 160
Crystal system ... trigonal

```
4
Lattice="1.8034 1.0412 11.6090 -1.8034 1.0412 11.6090 0.0000 -2.0824 11.6090" Properties=species:S:1:pos:R:3 pbc="T T T"
Pm 0.0000 0.0000 0.0000
Sm 0.0000 0.0000 26.2472
Er 0.0000 0.0000 20.2868
Th 0.0000 0.0000 5.8765
```



Energies relative to the most stable structure, in meV/atom: run w 153; run x 0.



Run w
Computed, not measured: Pm3ErSn2 after structural relaxation at the PBE level of DFT.

Total moment ... 0.39 μB/cell
Space-group type ... C2/m, No. 12
Crystal system ... monoclinic

```
12
Lattice="9.0871 -2.2931 0.0000 9.0871 2.2931 0.0000 -4.2490 0.0000 8.8623" Properties=species:S:1:pos:R:3 pbc="T T T"
Pm 0.1378 0.0000 1.6693
Pm 3.0295 0.0000 5.3982
Pm 6.2688 0.0000 0.1664
Pm 7.6564 0.0000 8.6959
Pm 10.8958 0.0000 3.4641
Pm 13.7875 0.0000 7.1930
Er -0.5637 0.0000 5.4794
Er 14.4889 0.0000 3.3828
Sn 3.5671 0.0000 1.9864
Sn 6.2909 0.0000 5.7247
Sn 7.6344 0.0000 3.1376
Sn 10.3582 0.0000 6.8759
```



Run x
Computed, not measured: Pm3ErSn2 after structural relaxation at the PBE level of DFT.

Total moment ... 0.00 μB/cell
Space-group type ... P-4m2, No. 115
Crystal system ... tetragonal

```
6
Lattice="4.6031 0.0000 0.0000 0.0000 4.6031 0.0000 0.0000 0.0000 8.6763" Properties=species:S:1:pos:R:3 pbc="T T T"
Pm 0.0000 0.0000 0.0000
Pm 0.0000 2.3016 5.6521
Pm 2.3016 0.0000 3.0242
Er 2.3016 2.3016 0.0000
Sn 0.0000 2.3016 2.4031
Sn 2.3016 0.0000 6.2731
```



Energies relative to the most stable structure, in meV/atom: run w 83; run x 0.



Run w
Computed, not measured: Pm2ErSn2 after structural relaxation at the PBE level of DFT.

Total moment ... 0.00 μB/cell
Space-group type ... Cmcm, No. 63
Crystal system ... orthorhombic

```
10
Lattice="2.5322 -9.1499 0.0000 2.5322 9.1499 0.0000 0.0000 0.0000 6.5420" Properties=species:S:1:pos:R:3 pbc="T T T"
Pm 0.0000 0.0000 0.0000
Pm 0.0000 0.0000 3.2710
Pm 2.5322 5.6105 4.9065
Pm 2.5322 -5.6105 1.6355
Er 2.5322 1.8823 4.9065
Er 2.5322 -1.8823 1.6355
Sn 2.5322 5.7002 1.6355
Sn 2.5322 1.3852 1.6355
Sn 2.5322 -1.3852 4.9065
Sn 2.5322 -5.7002 4.9065
```



Run x
Computed, not measured: Pm2ErSn2 after structural relaxation at the PBE level of DFT.

Total moment ... 0.00 μB/cell
Space-group type ... P4/mbm, No. 127
Crystal system ... tetragonal

```
10
Lattice="8.0969 0.0000 0.0000 0.0000 8.0969 0.0000 0.0000 0.0000 4.5268" Properties=species:S:1:pos:R:3 pbc="T T T"
Pm 1.3860 2.6625 0.0000
Pm 2.6625 6.7109 0.0000
Pm 5.4344 1.3860 0.0000
Pm 6.7109 5.4344 0.0000
Er 0.0000 0.0000 2.2634
Er 4.0484 4.0484 2.2634
Sn 1.0633 5.1117 2.2634
Sn 2.9851 1.0633 2.2634
Sn 5.1117 7.0336 2.2634
Sn 7.0336 2.9851 2.2634
```



Energies relative to the most stable structure, in meV/atom: run w 80; run x 0.



Run w
Computed, not measured: SrPm2Er after structural relaxation at the PBE level of DFT.

Total moment ... 0.00 μB/cell
Space-group type ... R3m, No. 160
Crystal system ... trigonal

```
4
Lattice="1.8548 1.0709 12.3172 -1.8548 1.0709 12.3172 0.0000 -2.1418 12.3172" Properties=species:S:1:pos:R:3 pbc="T T T"
Sr 0.0000 0.0000 0.0000
Pm 0.0000 0.0000 21.2904
Pm 0.0000 0.0000 27.9723
Er 0.0000 0.0000 6.1483
```



Run x
Computed, not measured: SrPm2Er after structural relaxation at the PBE level of DFT.

Total moment ... 0.00 μB/cell
Space-group type ... R-3m, No. 166
Crystal system ... trigonal

```
4
Lattice="1.8222 1.0521 13.0027 -1.8222 1.0521 13.0027 0.0000 -2.1041 13.0027" Properties=species:S:1:pos:R:3 pbc="T T T"
Sr 0.0000 0.0000 0.0000
Pm 0.0000 0.0000 3.6558
Pm 0.0000 0.0000 35.3522
Er 0.0000 0.0000 19.5040
```



Energies relative to the most stable structure, in meV/atom: run w 0; run x 89.



Run w
Computed, not measured: SrPmEr after structural relaxation at the PBE level of DFT.

Total moment ... 0.00 μB/cell
Space-group type ... P3m1, No. 156
Crystal system ... trigonal

```
3
Lattice="3.7442 0.0000 0.0000 -1.8721 3.2425 0.0000 0.0000 0.0000 9.3108" Properties=species:S:1:pos:R:3 pbc="T T T"
Sr 0.0000 0.0000 0.0000
Pm 1.8721 1.0808 3.3560
Er 0.0000 2.1617 6.0823
```



Run x
Computed, not measured: SrPmEr after structural relaxation at the PBE level of DFT.

Total moment ... 0.00 μB/cell
Space-group type ... C2/m, No. 12
Crystal system ... monoclinic

```
6
Lattice="6.5361 -1.9517 0.0000 6.5361 1.9517 0.0000 -3.2952 0.0000 9.0755" Properties=species:S:1:pos:R:3 pbc="T T T"
Sr 1.7456 0.0000 0.7059
Sr 8.0315 0.0000 8.3696
Pm 4.2255 0.0000 6.2094
Pm 5.5516 0.0000 2.8660
Er 0.5137 0.0000 5.3609
Er 9.2634 0.0000 3.7146
```



Energies relative to the most stable structure, in meV/atom: run w 22; run x 0.



Run w
Computed, not measured: Tb4PmEr2 after structural relaxation at the PBE level of DFT.

Total moment ... 0.00 μB/cell
Space-group type ... C2/m, No. 12
Crystal system ... monoclinic

```
7
Lattice="8.3462 -1.7634 0.0000 8.3462 1.7634 0.0000 -4.2718 0.0000 7.6261" Properties=species:S:1:pos:R:3 pbc="T T T"
Tb 0.9189 0.0000 2.5282
Tb 0.0270 0.0000 6.0557
Tb 12.3937 0.0000 1.5704
Tb 11.5018 0.0000 5.0979
Pm 6.2103 0.0000 3.8130
Er 6.8687 0.0000 0.5308
Er 5.5520 0.0000 7.0953
```



Run x
Computed, not measured: Tb4PmEr2 after structural relaxation at the PBE level of DFT.

Total moment ... 0.00 μB/cell
Space-group type ... I4/mmm, No. 139
Crystal system ... tetragonal

```
7
Lattice="-2.2567 2.2567 11.2638 2.2567 -2.2567 11.2638 2.2567 2.2567 -11.2638" Properties=species:S:1:pos:R:3 pbc="T T T"
Tb 0.0000 0.0000 3.1332
Tb 2.2567 0.0000 5.6319
Tb 0.0000 2.2567 5.6319
Tb 0.0000 0.0000 19.3944
Pm 0.0000 0.0000 0.0000
Er 0.0000 0.0000 9.1344
Er 0.0000 0.0000 13.3932
```



Energies relative to the most stable structure, in meV/atom: run w 0; run x 250.